# 1
{"formula": "NaAgBMo2", "functional": "meta-GGA SCAN", "state": "PBEsol geometry", "magnetic_moment_mub_per_cell": 6.3, "ef_kj_per_mol_atoms": 262.3, "cell": [[-4.283, 1.809, -0.866], [-1.894, -4.461, 0.051], [-0.797, 0.393, 4.764]], "species": ["Mo", "B", "Ag", "Na", "Mo"], "fractional_positions": [[0.000, 0.500, 0.000], [0.500, 0.500, 0.500], [0.000, 0.000, 0.000], [0.500, 0.000, 0.000], [0.000, 0.000, 0.500]]}

---

# 2
{"formula": "Fe2ReMo", "functional": "meta-GGA SCAN", "state": "PBEsol geometry", "magnetic_moment_mub_per_cell": 4.9, "ef_kj_per_mol_atoms": 3.2, "cell": [[-2.216, -0.599, 1.966], [-1.796, -0.842, -2.280], [1.890, -5.370, 0.494]], "species": ["Fe", "Re", "Fe", "Mo"], "fractional_positions": [[0.000, 0.000, 0.015], [0.500, 0.500, 0.759], [0.500, 0.500, 0.235], [0.000, 0.000, 0.491]]}

---

# 3
{"formula": "BaCrP2S", "functional": "meta-GGA SCAN", "state": "PBEsol geometry", "magnetic_moment_mub_per_cell": 2.2, "formation_energy_uncorrected_ev_per_atom": 1.76, "cell": [[-1.728, 5.786, -0.561], [-5.200, -1.588, -0.366], [-0.497, 0.377, 5.414]], "species": ["Ba", "P", "Cr", "S", "P"], "fractional_positions": [[0.000, 0.000, 0.000], [0.000, 0.500, 0.000], [0.500, 0.000, 0.000], [0.500, 0.500, 0.500], [0.000, 0.000, 0.500]]}

---

# 4
{"formula": "Ba2CoSi", "functional": "meta-GGA SCAN", "state": "PBEsol geometry", "magnetic_moment_mub_per_cell": 1.1, "formation_energy_uncorrected_ev_per_atom": 0.47, "cell": [[5.200, 0.000, 0.000], [-2.600, 4.502, -0.090], [0.000, -2.917, 4.305]], "species": ["Ba", "Ba", "Si", "Co"], "fractional_positions": [[0.750, 0.500, 0.250], [0.000, 0.000, 0.000], [0.250, 0.500, 0.750], [0.500, 0.000, 0.500]]}

---

# 5
{"formula": "Gd3BWO9", "functional": "meta-GGA SCAN", "state": "PBEsol geometry", "magnetic_moment_mub_per_cell": 41.9, "formation_energy_uncorrected_ev_per_atom": -3.26, "cell": [[5.384, 0.000, 0.000], [0.000, 8.516, 0.000], [0.000, -4.258, 7.375]], "species": ["O", "O", "O", "O", "O", "O", "B", "Gd", "W", "Gd", "O", "B", "O", "O", "O", "O", "Gd", "W", "O", "Gd", "O", "O", "Gd", "Gd", "O", "O", "O", "O"], "fractional_positions": [[0.965, 0.467, 0.197], [0.465, 0.533, 0.803], [0.647, 0.181, 0.129], [0.465, 0.269, 0.467], [0.465, 0.197, 0.731], [0.147, 0.819, 0.871], [0.137, 0.000, 0.000], [0.799, 0.084, 0.358], [0.256, 0.333, 0.667], [0.299, 0.358, 0.275], [0.525, 0.866, 0.381], [0.637, 0.000, 0.000], [0.525, 0.515, 0.134], [0.025, 0.381, 0.515], [0.965, 0.803, 0.269], [0.647, 0.948, 0.819], [0.299, 0.916, 0.642], [0.756, 0.667, 0.333], [0.025, 0.134, 0.619], [0.299, 0.725, 0.084], [0.965, 0.731, 0.533], [0.147, 0.129, 0.948], [0.799, 0.275, 0.916], [0.799, 0.642, 0.725], [0.647, 0.871, 0.052], [0.025, 0.485, 0.866], [0.525, 0.619, 0.485], [0.147, 0.052, 0.181]]}

---

# 6
{"formula": "TmSbO4", "functional": "meta-GGA SCAN", "state": "PBEsol geometry", "magnetic_moment_mub_per_cell": 0.0, "formation_energy_uncorrected_ev_per_atom": -2.67, "cell": [[-3.570, 0.299, -3.858], [-5.263, -2.306, 4.691], [-0.690, 7.374, 1.210]], "species": ["O", "O", "O", "O", "Tm", "Sb", "O", "O", "O", "Sb", "O", "O", "O", "Sb", "Sb", "O", "O", "O", "Tm", "Tm", "O", "Tm", "O", "O"], "fractional_positions": [[0.019, 0.173, 0.111], [0.402, 0.187, 0.572], [0.098, 0.687, 0.572], [0.609, 0.565, 0.671], [0.226, 0.113, 0.858], [0.270, 0.690, 0.337], [0.519, 0.327, 0.889], [0.481, 0.673, 0.111], [0.012, 0.384, 0.826], [0.770, 0.810, 0.663], [0.902, 0.313, 0.428], [0.512, 0.116, 0.174], [0.598, 0.813, 0.428], [0.230, 0.190, 0.337], [0.730, 0.310, 0.663], [0.391, 0.435, 0.329], [0.109, 0.935, 0.329], [0.488, 0.884, 0.826], [0.774, 0.887, 0.142], [0.274, 0.613, 0.858], [0.891, 0.065, 0.671], [0.726, 0.387, 0.142], [0.981, 0.827, 0.889], [0.988, 0.616, 0.174]]}

---

# 7
{"formula": "ZrRe3N", "functional": "meta-GGA SCAN", "state": "PBEsol geometry", "magnetic_moment_mub_per_cell": 0.0, "formation_energy_uncorrected_ev_per_atom": -0.01, "cell": [[-1.752, 2.494, -2.765], [2.013, -1.936, -3.022], [-3.133, -2.639, -0.396]], "species": ["Re", "Re", "N", "Zr", "Re"], "fractional_positions": [[0.000, 0.500, 0.000], [0.500, 0.000, 0.000], [0.000, 0.000, 0.000], [0.500, 0.500, 0.500], [0.000, 0.000, 0.500]]}

---

# 8
{"formula": "Sc3Pb", "functional": "meta-GGA SCAN", "state": "PBEsol geometry", "magnetic_moment_mub_per_cell": 4.4, "ef_kj_per_mol_atoms": -41.3, "cell": [[-1.088, 5.596, 0.909], [-4.643, -1.496, 3.653], [9.572, -0.109, 12.121]], "species": ["Sc", "Sc", "Sc", "Sc", "Sc", "Sc", "Sc", "Pb", "Pb", "Sc", "Sc", "Sc", "Sc", "Sc", "Sc", "Pb", "Sc", "Pb", "Sc", "Sc", "Pb", "Pb", "Sc", "Sc"], "fractional_positions": [[0.859, 0.000, 0.664], [0.641, 0.250, 0.833], [0.082, 0.745, 0.500], [0.082, 0.255, 0.500], [0.359, 0.250, 0.667], [0.141, 0.500, 0.164], [0.418, 0.000, 0.000], [0.861, 0.500, 0.666], [0.139, 0.000, 0.834], [0.359, 0.750, 0.667], [0.582, 0.500, 0.500], [0.859, 0.000, 0.336], [0.359, 0.250, 0.333], [0.641, 0.750, 0.167], [0.141, 0.500, 0.836], [0.861, 0.500, 0.334], [0.641, 0.750, 0.833], [0.561, 0.000, 0.500], [0.918, 0.755, 0.000], [0.641, 0.250, 0.167], [0.139, 0.000, 0.166], [0.439, 0.500, 0.000], [0.359, 0.750, 0.333], [0.918, 0.245, 0.000]]}

---

# 9
{"formula": "Sc2NiO", "functional": "meta-GGA SCAN", "state": "PBEsol geometry", "magnetic_moment_mub_per_cell": 0.0, "formation_energy_uncorrected_ev_per_atom": -1.32, "cell": [[3.684, 0.000, 0.000], [1.842, 3.190, 0.000], [1.842, 1.063, 6.591]], "species": ["O", "Ni", "Sc", "Sc"], "fractional_positions": [[0.000, 0.000, 0.000], [0.500, 0.500, 0.500], [0.095, 0.095, 0.716], [0.905, 0.905, 0.284]]}

---

# 10
{"formula": "Y3ZnW", "functional": "meta-GGA SCAN", "state": "PBEsol geometry", "magnetic_moment_mub_per_cell": 0.0, "ef_kj_per_mol_atoms": 61.6, "cell": [[5.315, 0.000, 0.000], [0.000, 5.315, 0.000], [0.000, 0.000, 5.315]], "species": ["Y", "Y", "Zn", "W", "Y"], "fractional_positions": [[0.500, 0.000, 0.000], [0.000, 0.500, 0.000], [0.500, 0.500, 0.500], [0.000, 0.000, 0.000], [0.000, 0.000, 0.500]]}

---

# 11
{"formula": "KW", "functional": "meta-GGA SCAN", "state": "PBEsol geometry", "magnetic_moment_mub_per_cell": 0.0, "relative_energy_ev_per_atom": 0.124, "ef_kj_per_mol_atoms": 110.3, "cell": [[-0.487, 1.207, 2.718], [-2.224, -1.761, -1.016], [5.188, -9.531, 5.160]], "species": ["W", "K", "K", "W"], "fractional_positions": [[0.750, 0.250, 0.422], [0.250, 0.750, 0.170], [0.750, 0.250, 0.830], [0.250, 0.750, 0.578]]}

---

# 12
{"formula": "MgRuAu2", "functional": "meta-GGA SCAN", "state": "PBEsol geometry", "magnetic_moment_mub_per_cell": 1.4, "ef_kj_per_mol_atoms": -7.2, "cell": [[-1.677, 1.483, 1.579], [-3.071, -0.836, -2.476], [-1.226, -4.690, 3.103]], "species": ["Ru", "Au", "Au", "Mg"], "fractional_positions": [[0.500, 0.500, 0.500], [0.000, 0.000, 0.745], [0.000, 0.000, 0.255], [0.500, 0.500, 0.000]]}

---

# 13
{"formula": "LaBe2BiS", "functional": "meta-GGA SCAN", "state": "PBEsol geometry", "magnetic_moment_mub_per_cell": 0.0, "formation_energy_uncorrected_ev_per_atom": 1.04, "cell": [[-1.102, -0.906, 5.008], [-1.655, -4.726, -1.219], [4.757, -1.850, 0.712]], "species": ["S", "Be", "Be", "La", "Bi"], "fractional_positions": [[0.500, 0.000, 0.000], [0.000, 0.000, 0.500], [0.000, 0.500, 0.000], [0.000, 0.000, 0.000], [0.500, 0.500, 0.500]]}

---

# 14
{"formula": "CsBaAg2F", "functional": "meta-GGA SCAN", "state": "PBEsol geometry", "magnetic_moment_mub_per_cell": 0.0, "formation_energy_uncorrected_ev_per_atom": 0.45, "cell": [[-2.641, 2.495, 4.580], [-2.496, -5.112, 1.345], [6.170, -1.816, 4.547]], "species": ["Cs", "Ag", "Ag", "Ba", "F"], "fractional_positions": [[0.000, 0.000, 0.000], [0.500, 0.000, 0.000], [0.000, 0.500, 0.000], [0.000, 0.000, 0.500], [0.500, 0.500, 0.500]]}

---

# 15
{"formula": "NaSr4Sb3O12", "functional": "meta-GGA SCAN", "state": "PBEsol geometry", "magnetic_moment_mub_per_cell": 0.0, "formation_energy_uncorrected_ev_per_atom": -2.38, "cell": [[-0.160, 3.642, 7.236], [-7.442, -2.978, 1.334], [3.176, -6.656, 3.421]], "species": ["Sb", "Sb", "O", "O", "O", "Sr", "O", "Sr", "Na", "Sb", "O", "Na", "O", "O", "Sr", "Sb", "O", "O", "Sr", "O", "O", "O", "O", "O", "Sr", "O", "O", "O", "O", "O", "Sr", "O", "Sr", "Sb", "O", "Sb", "O", "O", "Sr", "O"], "fractional_positions": [[0.000, 0.000, 0.500], [0.500, 0.000, 0.000], [0.541, 0.037, 0.249], [0.038, 0.750, 0.461], [0.729, 0.025, 0.956], [0.255, 0.731, 0.237], [0.538, 0.750, 0.039], [0.755, 0.766, 0.778], [0.500, 0.500, 0.500], [0.500, 0.500, 0.000], [0.462, 0.250, 0.961], [0.000, 0.000, 0.000], [0.037, 0.964, 0.729], [0.963, 0.036, 0.271], [0.245, 0.231, 0.737], [0.000, 0.500, 0.000], [0.959, 0.537, 0.749], [0.750, 0.452, 0.030], [0.745, 0.266, 0.278], [0.961, 0.728, 0.035], [0.250, 0.048, 0.470], [0.271, 0.975, 0.044], [0.962, 0.250, 0.539], [0.750, 0.952, 0.530], [0.755, 0.769, 0.263], [0.463, 0.464, 0.229], [0.459, 0.963, 0.751], [0.039, 0.272, 0.965], [0.771, 0.525, 0.456], [0.537, 0.536, 0.771], [0.255, 0.734, 0.722], [0.041, 0.463, 0.251], [0.245, 0.234, 0.222], [0.000, 0.500, 0.500], [0.229, 0.475, 0.544], [0.500, 0.000, 0.500], [0.461, 0.772, 0.465], [0.539, 0.228, 0.535], [0.745, 0.269, 0.763], [0.250, 0.548, 0.970]]}

---

# 16
{"formula": "Li2CaMg", "functional": "meta-GGA SCAN", "state": "PBEsol geometry", "magnetic_moment_mub_per_cell": 0.3, "ef_kj_per_mol_atoms": 3.6, "cell": [[-1.493, -0.763, 3.986], [-1.429, -4.467, -1.390], [4.363, -1.798, 1.290]], "species": ["Ca", "Mg", "Li", "Li"], "fractional_positions": [[0.500, 0.000, 0.000], [0.500, 0.500, 0.500], [0.000, 0.000, 0.500], [0.000, 0.500, 0.000]]}

---

# 17
{"formula": "MgSbPt2", "functional": "meta-GGA SCAN", "state": "PBEsol geometry", "magnetic_moment_mub_per_cell": 0.0, "formation_energy_uncorrected_ev_per_atom": -0.54, "cell": [[-1.809, 1.473, -3.211], [-3.267, -2.059, 0.896], [1.092, 3.604, 3.491]], "species": ["Pt", "Sb", "Pt", "Mg"], "fractional_positions": [[0.750, 0.250, 0.500], [0.500, 0.500, 0.000], [0.000, 0.000, 0.000], [0.250, 0.750, 0.500]]}

---

# 18
{"formula": "Rb2As2Pd", "functional": "meta-GGA SCAN", "state": "PBEsol geometry", "magnetic_moment_mub_per_cell": 0.0, "ef_kj_per_mol_atoms": -60.0, "cell": [[6.094, 0.000, 0.000], [0.000, 6.652, 0.000], [0.000, 3.326, 7.359]], "species": ["Pd", "As", "Rb", "As", "Rb", "Pd", "Rb", "As", "Rb", "As"], "fractional_positions": [[0.000, 0.000, 0.000], [0.750, 0.289, 0.787], [0.250, 0.207, 0.586], [0.250, 0.711, 0.213], [0.750, 0.417, 0.165], [0.500, 0.000, 0.000], [0.250, 0.583, 0.835], [0.750, 0.925, 0.787], [0.750, 0.793, 0.414], [0.250, 0.075, 0.213]]}

---

# 19
{"formula": "Na2CaSb2", "functional": "meta-GGA SCAN", "state": "PBEsol geometry", "magnetic_moment_mub_per_cell": 0.0, "formation_energy_uncorrected_ev_per_atom": -0.52, "cell": [[4.564, 0.000, 0.000], [0.000, 4.564, 0.000], [-2.282, -2.282, 6.938]], "species": ["Sb", "Na", "Na", "Ca", "Sb"], "fractional_positions": [[0.399, 0.399, 0.797], [0.750, 0.250, 0.500], [0.250, 0.750, 0.500], [0.000, 0.000, 0.000], [0.601, 0.601, 0.203]]}

---

# 20
{"formula": "MgMo2P", "functional": "meta-GGA SCAN", "state": "PBEsol geometry", "magnetic_moment_mub_per_cell": 0.0, "relative_energy_ev_per_atom": 0.400, "ef_kj_per_mol_atoms": 43.1, "cell": [[4.317, 0.000, 0.000], [2.158, 3.738, 0.000], [2.158, 1.246, 3.524]], "species": ["Mg", "Mo", "P", "Mo"], "fractional_positions": [[0.000, 0.000, 0.000], [0.250, 0.250, 0.250], [0.500, 0.500, 0.500], [0.750, 0.750, 0.750]]}

---

# 21
{"formula": "Ba2AlW", "functional": "meta-GGA SCAN", "state": "PBEsol geometry", "magnetic_moment_mub_per_cell": 3.3, "ef_kj_per_mol_atoms": 110.0, "cell": [[3.832, 0.000, 0.000], [0.000, 5.643, 0.009], [0.000, -0.049, 5.643]], "species": ["Ba", "Ba", "Al", "W"], "fractional_positions": [[0.000, 0.500, 0.000], [0.000, 0.000, 0.500], [0.500, 0.500, 0.500], [0.500, 0.000, 0.000]]}

---

no.,E_tot (eV per atom)
1,-19.838
2,-35.527
3,-15.914
4,-26.136
5,-25.377
6,-21.676
7,-50.666
8,-30.051
9,-14.045
10,-32.708
11,-37.865
12,-44.603
13,-26.967
14,-28.275
15,-16.370
16,-4.817
17,-46.200
18,-23.549
19,-19.044
20,-20.839
21,-37.994